# 1
Be2ZnSeF, optimized geometry, DFT PBE; final energy = -0.2061 Ry per atom; space-group type = No. 123; formation energy from raw total energies = 0.01 eV/atom
1.0
-2.915 2.091 -0.385
-2.124 -2.897 0.342
-0.197 0.892 6.335
Be Zn Se F
2 1 1 1
direct
0.000 0.500 0.000 Be
0.500 0.000 0.000 Be
0.000 0.000 0.500 Zn
0.500 0.500 0.500 Se
0.000 0.000 0.000 F

=====

# 2
BeSi2F, optimized geometry, DFT PBE; final energy = -0.3643 Ry per atom; energy above the most stable polymorph in this dataset = 26.8 kJ/mol of formula units; space-group type = No. 9; formation energy from raw total energies = -0.85 eV/atom
1.0
-4.468 -1.857 0.713
7.841 -16.526 6.076
3.299 2.221 1.783
Be Si F
4 8 4
direct
0.800 0.700 0.130 Be
0.300 0.300 0.630 Be
0.800 0.200 0.630 Be
0.300 0.800 0.130 Be
0.297 0.103 0.163 Si
0.797 0.897 0.663 Si
0.297 0.603 0.663 Si
0.797 0.397 0.163 Si
0.298 0.551 0.164 Si
0.798 0.449 0.664 Si
0.298 0.051 0.664 Si
0.798 0.949 0.164 Si
0.559 0.759 0.102 F
0.059 0.241 0.602 F
0.559 0.259 0.602 F
0.059 0.741 0.102 F

=====

# 3
BeSi2F, optimized geometry, DFT PBE; final energy = -0.3063 Ry per atom; energy above the most stable polymorph in this dataset = 331.3 kJ/mol of formula units; space-group type = No. 225; formation energy from raw total energies = -0.06 eV/atom
1.0
0.000 2.862 2.862
2.862 0.000 2.862
2.862 2.862 0.000
Be Si F
1 2 1
direct
0.000 0.000 0.000 Be
0.250 0.250 0.250 Si
0.750 0.750 0.750 Si
0.500 0.500 0.500 F

=====

# 4
BeSiF2, optimized geometry, DFT PBE; final energy = -0.3580 Ry per atom; energy above the most stable polymorph in this dataset = 128.3 kJ/mol of formula units; space-group type = No. 227; formation energy from raw total energies = -1.65 eV/atom
1.0
1.101 1.456 4.837
0.223 5.024 1.200
-3.671 2.116 2.962
Be Si F
2 2 4
direct
0.500 0.500 0.500 Be
0.750 0.750 0.750 Be
0.000 0.000 0.000 Si
0.250 0.250 0.250 Si
0.625 0.625 0.125 F
0.625 0.625 0.625 F
0.625 0.125 0.625 F
0.125 0.625 0.625 F

=====

# 5
BeSi2F, optimized geometry, DFT PBE; final energy = -0.3665 Ry per atom; energy above the most stable polymorph in this dataset = 15.6 kJ/mol of formula units; space-group type = No. 8; formation energy from raw total energies = -0.87 eV/atom
1.0
-4.583 0.051 2.023
-0.991 -1.120 -2.215
5.614 -15.807 5.484
Be Si F
4 8 4
direct
0.134 0.000 0.271 Be
0.134 0.500 0.771 Be
0.231 0.000 0.119 Be
0.231 0.500 0.619 Be
0.469 0.000 0.834 Si
0.469 0.500 0.334 Si
0.952 0.000 0.858 Si
0.952 0.500 0.358 Si
0.960 0.000 0.995 Si
0.960 0.500 0.495 Si
0.453 0.000 0.966 Si
0.453 0.500 0.466 Si
0.041 0.000 0.183 F
0.041 0.500 0.683 F
0.401 0.000 0.633 F
0.401 0.500 0.133 F

=====

# 6
BeSi2F, optimized geometry, DFT PBE; final energy = -0.3694 Ry per atom; energy above the most stable polymorph in this dataset = 0.0 kJ/mol of formula units; space-group type = No. 46; formation energy from raw total energies = -0.92 eV/atom
1.0
2.766 0.000 0.000
0.000 18.591 0.000
0.000 0.000 4.495
Be Si F
4 8 4
direct
0.250 0.700 0.603 Be
0.750 0.300 0.603 Be
0.750 0.200 0.103 Be
0.250 0.800 0.103 Be
0.250 0.101 0.037 Si
0.750 0.899 0.037 Si
0.750 0.601 0.537 Si
0.250 0.399 0.537 Si
0.250 0.052 0.538 Si
0.750 0.948 0.538 Si
0.750 0.552 0.038 Si
0.250 0.448 0.038 Si
0.250 0.729 0.926 F
0.750 0.271 0.926 F
0.750 0.229 0.426 F
0.250 0.771 0.426 F

=====

- What is the formula in the fourth record?
  BeSiF2